Record 1
Crystalline LiGeTeN2 at its relaxed geometry. Source: Alexandria, functional GGA-PBE.

```
5
Lattice="4.1395 0.0000 0.0000 0.0000 4.1395 0.0000 0.0000 0.0000 5.2265" Properties=species:S:1:pos:R:3 pbc="T T T"
Li 0.0000 0.0000 0.0000
Ge 2.0697 2.0697 2.6132
Te 0.0000 0.0000 2.6132
N 0.0000 2.0697 0.0000
N 2.0697 0.0000 0.0000
```

Output
ΔE to the lowest computed polymorph = 671 meV/atom
formation energy without anion corrections = 1.585 eV per atom
N(E_F) = 3.42 states/eV/cell

Record 2
Crystalline AlSN2 at its relaxed geometry. Source: Alexandria, functional GGA-PBE.

```
8
Lattice="-2.1453 2.1453 5.1664 2.1453 -2.1453 5.1664 2.1453 2.1453 -5.1664" Properties=species:S:1:pos:R:3 pbc="T T T"
Al 0.0000 0.0000 0.0000
Al 0.0000 2.1453 2.5832
S 2.1453 0.0000 2.5832
S 0.0000 0.0000 5.1664
N 3.2179 0.9968 -1.2916
N 0.9968 1.0726 1.2916
N -1.0726 1.1485 3.8748
N 1.1485 1.0726 6.4580
```

Output
ΔE to the lowest computed polymorph = 458 meV/atom
formation energy without anion corrections = 0.492 eV per atom
N(E_F) = 1.66 states/eV/cell

Record 3
Crystalline CeY3Fe at its relaxed geometry. Source: Alexandria, functional GGA-PBE.

```
5
Lattice="5.3007 0.0000 0.0000 0.0000 5.3007 0.0000 0.0000 0.0000 5.3007" Properties=species:S:1:pos:R:3 pbc="T T T"
Ce 0.0000 0.0000 0.0000
Y 0.0000 2.6503 2.6503
Y 2.6503 0.0000 2.6503
Y 2.6503 2.6503 0.0000
Fe 2.6503 2.6503 2.6503
```

Output
ΔE to the lowest computed polymorph = 148 meV/atom
N(E_F) = 11.91 states/eV/cell
ΔH_f (0 K) = 0.9 eV/f.u.

Record 4
Crystalline Ac2TbRh4Pb3 at its relaxed geometry. Source: Alexandria, functional GGA-PBE.

```
10
Lattice="4.5542 0.0000 0.0000 0.0000 4.5542 0.0000 0.0000 0.0000 11.8800" Properties=species:S:1:pos:R:3 pbc="T T T"
Ac 0.0000 2.2771 2.8093
Ac 2.2771 0.0000 9.0706
Tb 0.0000 0.0000 5.9400
Rh 0.0000 0.0000 0.0000
Rh 0.0000 2.2771 7.6657
Rh 2.2771 0.0000 4.2142
Rh 2.2771 2.2771 0.0000
Pb 0.0000 2.2771 10.3918
Pb 2.2771 0.0000 1.4881
Pb 2.2771 2.2771 5.9400
```

Output
N(E_F) = 7.27 states/eV/cell
ΔH_f (0 K) = -5.1 eV/f.u.

Record 5
Crystalline Nb2VPd7 at its relaxed geometry. Source: Alexandria, functional GGA-PBE.

```
10
Lattice="4.1739 -7.7700 0.0000 4.1739 7.7700 0.0000 0.0000 0.0000 2.7672" Properties=species:S:1:pos:R:3 pbc="T T T"
Nb 4.1739 5.1348 0.0000
Nb 4.1739 -5.1348 0.0000
V 4.1739 0.0000 1.3836
Pd 0.0000 0.0000 0.0000
Pd 2.3033 1.4315 0.0000
Pd 4.1739 2.8853 1.3836
Pd 2.3033 -1.4315 0.0000
Pd 6.0446 1.4315 0.0000
Pd 4.1739 -2.8853 1.3836
Pd 6.0446 -1.4315 0.0000
```

Output
N(E_F) = 9.58 states/eV/cell
ΔH_f (0 K) = 2.0 eV/f.u.

Record 6
Crystalline Mg3Ni at its relaxed geometry. Source: Alexandria, functional GGA-PBE.

```
4
Lattice="1.5128 0.8734 9.4451 -1.5128 0.8734 9.4451 0.0000 -1.7468 9.4451" Properties=species:S:1:pos:R:3 pbc="T T T"
Mg 0.0000 0.0000 0.0000
Mg 0.0000 0.0000 6.6713
Mg 0.0000 0.0000 21.6640
Ni 0.0000 0.0000 14.1676
```

Output
N(E_F) = 2.32 states/eV/cell
ΔH_f (0 K) = 0.2 eV/f.u.

Record 7
Crystalline Sc2AlCo3 at its relaxed geometry. Source: Alexandria, functional GGA-PBE.

```
6
Lattice="2.5380 1.4653 3.8375 -2.5380 1.4653 3.8375 0.0000 -2.9306 3.8375" Properties=species:S:1:pos:R:3 pbc="T T T"
Sc 0.0000 0.0000 1.4504
Sc 0.0000 0.0000 10.0621
Al 0.0000 0.0000 5.7562
Co -1.2690 -0.7327 3.8375
Co -1.2690 0.7327 7.6750
Co 0.0000 1.4653 3.8375
```

Output
ΔE to the lowest computed polymorph = 24 meV/atom
N(E_F) = 7.65 states/eV/cell
ΔH_f (0 K) = -2.6 eV/f.u.

Record 8
Crystalline Ho2SeF3 at its relaxed geometry. Source: Alexandria, functional GGA-PBE.

```
12
Lattice="6.4290 -1.9671 0.0000 6.4290 1.9671 0.0000 -1.8913 0.0000 8.1617" Properties=species:S:1:pos:R:3 pbc="T T T"
Ho 0.6283 0.0000 3.4764
Ho 4.4419 0.0000 1.2430
Ho 6.5248 0.0000 6.9187
Ho 10.3384 0.0000 4.6854
Se 3.7255 0.0000 6.6699
Se 7.2413 0.0000 1.4918
F -0.2003 0.0000 5.6086
F 0.6488 0.0000 7.8671
F 2.9258 0.0000 3.2715
F 8.0410 0.0000 4.8903
F 10.3179 0.0000 0.2946
F 11.1670 0.0000 2.5531
```

Output
formation energy without anion corrections = -3.125 eV per atom

Record 9
Crystalline RbTaAg2Te4 at its relaxed geometry. Source: Alexandria, functional GGA-PBE.

```
8
Lattice="-3.4917 4.4575 4.8358 3.4917 -4.4575 4.8358 3.4917 4.4575 -4.8358" Properties=species:S:1:pos:R:3 pbc="T T T"
Rb 0.0000 0.0000 0.0000
Ta 0.0000 0.0000 4.8358
Ag 3.4917 0.0000 3.4040
Ag 0.0000 4.4575 1.4318
Te 2.1250 2.8090 -1.5612
Te 1.3667 -1.6484 6.3970
Te 1.3667 1.6484 3.2746
Te 2.1250 6.1059 1.5612
```

Output
formation energy without anion corrections = -0.302 eV per atom

Record 10
Crystalline HfVRe at its relaxed geometry. Source: Alexandria, functional GGA-PBE.

```
3
Lattice="-1.5779 1.5779 4.9338 1.5779 -1.5779 4.9338 1.5779 1.5779 -4.9338" Properties=species:S:1:pos:R:3 pbc="T T T"
Hf 0.0000 0.0000 0.0000
V 0.0000 0.0000 3.1168
Re 0.0000 0.0000 6.6961
```

Output
ΔE to the lowest computed polymorph = 197 meV/atom
N(E_F) = 3.38 states/eV/cell
ΔH_f (0 K) = -0.7 eV/f.u.

Record 11
Crystalline FeAsP at its relaxed geometry. Source: Alexandria, functional GGA-PBE.

```
12
Lattice="5.6106 0.0000 0.0000 0.0000 5.8137 0.0000 -2.8018 0.0000 5.1362" Properties=species:S:1:pos:R:3 pbc="T T T"
Fe -0.0322 0.0417 2.5198
Fe -1.4331 2.8651 5.0879
Fe 4.2419 2.9486 0.0484
Fe 2.8410 5.7720 2.6165
As 0.0198 3.6734 3.4121
As 1.4207 5.0472 0.8440
As 1.3880 0.7665 4.2922
As 2.7889 2.1403 1.7241
P -1.3863 0.8143 4.1759
P 0.0146 2.0926 1.6078
P 2.7942 3.7211 3.5284
P 4.1951 4.9994 0.9603
```

Output
ΔH_f (0 K) = -1.1 eV/f.u.

Record 12
Crystalline RuWCl at its relaxed geometry. Source: Alexandria, functional GGA-PBE.

```
3
Lattice="0.0000 3.0166 3.0166 3.0166 0.0000 3.0166 3.0166 3.0166 0.0000" Properties=species:S:1:pos:R:3 pbc="T T T"
Ru 0.0000 0.0000 0.0000
W 4.5250 4.5250 4.5250
Cl 1.5083 1.5083 1.5083
```

Output
ΔE to the lowest computed polymorph = 889 meV/atom
formation energy without anion corrections = 1.127 eV per atom
N(E_F) = 3.85 states/eV/cell